Entry from the Alexandria database: crystalline TaMnNF2 at its relaxed geometry (GGA+U).

```
TaMnNF2
1.0
4.2267 0.0000 0.0000
0.0000 4.2267 0.0000
0.0000 0.0000 4.0432
N F Mn Ta
1 2 1 1
Cartesian
0.0000 0.0000 2.0216 N
0.0000 2.1133 0.0000 F
2.1133 0.0000 0.0000 F
2.1133 2.1133 2.0216 Mn
0.0000 0.0000 0.0000 Ta
```

## Properties
As for the magnetic moment: 5.754 μB/f.u. The symmetry is P4/mmm. For the energy above the most stable polymorph in this dataset, the calculation gives 0 meV per atom. The value obtained for the calculated total energy is -7.338 eV/atom.

Entry from the Alexandria database: crystalline TaMnN2F at its relaxed geometry (GGA+U).

```
TaMnN2F
1.0
3.9199 0.0000 0.0000
0.0000 3.9199 0.0000
0.0000 0.0000 3.5810
N F Mn Ta
2 1 1 1
Cartesian
0.0000 1.9599 0.0000 N
1.9599 0.0000 0.0000 N
0.0000 0.0000 1.7905 F
0.0000 0.0000 0.0000 Mn
1.9599 1.9599 1.7905 Ta
```

## Properties
As for the magnetic moment: 2.583 μB/f.u. The symmetry is P4/mmm. For the energy above the most stable polymorph in this dataset, the calculation gives 938 meV per atom. The value obtained for the calculated total energy is -7.324 eV/atom.

Entry from the Alexandria database: crystalline TaMnNF2 at its relaxed geometry (GGA+U).

```
TaMnNF2
1.0
3.6252 0.0000 0.0000
0.0000 3.6252 0.0000
0.0000 0.0000 5.6378
N F Mn Ta
1 2 1 1
Cartesian
0.0000 0.0000 2.8189 N
0.0000 1.8126 0.0000 F
1.8126 0.0000 0.0000 F
0.0000 0.0000 0.0000 Mn
1.8126 1.8126 2.8189 Ta
```

## Properties
As for the magnetic moment: 6.720 μB/f.u. The symmetry is P4/mmm. For the energy above the most stable polymorph in this dataset, the calculation gives 634 meV per atom. The value obtained for the calculated total energy is -6.704 eV/atom.

Entry from the Alexandria database: crystalline TaMnN2F at its relaxed geometry (GGA+U).

```
TaMnN2F
1.0
4.0915 0.0000 0.0000
0.0000 4.0915 0.0000
0.0000 0.0000 3.9804
N F Mn Ta
2 1 1 1
Cartesian
0.0000 2.0458 0.0000 N
2.0458 0.0000 0.0000 N
0.0000 0.0000 1.9902 F
2.0458 2.0458 1.9902 Mn
0.0000 0.0000 0.0000 Ta
```

## Properties
As for the magnetic moment: 4.931 μB/f.u. The symmetry is P4/mmm. For the energy above the most stable polymorph in this dataset, the calculation gives 0 meV per atom. The value obtained for the calculated total energy is -8.262 eV/atom.

Entry from the Alexandria database: crystalline TaMn2NF at its relaxed geometry (GGA+U).

```
TaMn2NF
1.0
3.8335 0.0000 0.0000
0.0000 4.9726 0.0000
0.0000 0.0000 3.8335
N F Mn Ta
1 1 2 1
Cartesian
0.0000 2.4863 0.0000 N
0.0000 0.0000 0.0000 F
0.0000 0.0000 1.9168 Mn
1.9168 0.0000 0.0000 Mn
1.9168 2.4863 1.9168 Ta
```

## Properties
As for the magnetic moment: 7.101 μB/f.u. The symmetry is P4/mmm. The value obtained for the calculated total energy is -6.693 eV/atom.

Entry from the Alexandria database: crystalline MnTcNF2 at its relaxed geometry (GGA+U).

```
MnTcNF2
1.0
4.2388 0.0000 0.0000
0.0000 4.2388 0.0000
0.0000 0.0000 3.8294
N Mn Tc F
1 1 1 2
Cartesian
0.0000 0.0000 1.9147 N
2.1194 2.1194 1.9147 Mn
0.0000 0.0000 0.0000 Tc
0.0000 2.1194 0.0000 F
2.1194 0.0000 0.0000 F
```

## Properties
As for the magnetic moment: 4.722 μB/f.u. The symmetry is P4/mmm. For the energy above the most stable polymorph in this dataset, the calculation gives 0 meV per atom. The value obtained for the calculated total energy is -6.546 eV/atom.

Entry from the Alexandria database: crystalline MnTcNF2 at its relaxed geometry (GGA+U).

```
MnTcNF2
1.0
-2.5681 1.1926 -2.7343
0.2532 -3.5077 -1.7678
-3.2101 -1.4357 2.3888
N Mn Tc F
1 1 1 2
Cartesian
-1.6051 -0.7178 1.1944 N
0.0000 0.0000 0.0000 Mn
-2.7625 -1.8754 -1.0566 Tc
0.1266 -1.7539 -0.8839 F
-1.2840 0.5963 -1.3671 F
```

## Properties
As for the magnetic moment: 8.912 μB/f.u. The symmetry is P4/mmm. For the energy above the most stable polymorph in this dataset, the calculation gives 287 meV per atom. The value obtained for the calculated total energy is -6.258 eV/atom.

Entry from the Alexandria database: crystalline MnTcN2F at its relaxed geometry (GGA+U).

```
MnTcN2F
1.0
-0.9932 -0.5765 3.7644
3.8076 -0.2230 0.9705
0.0679 3.7107 0.5862
N Mn Tc F
2 1 1 1
Cartesian
1.9038 -0.1115 0.4852 N
-0.4966 -0.2882 1.8822 N
0.0000 0.0000 0.0000 Mn
1.4411 1.4556 2.6605 Tc
0.0340 1.8554 0.2931 F
```

## Properties
As for the magnetic moment: 6.943 μB/f.u. The symmetry is P4/mmm. For the energy above the most stable polymorph in this dataset, the calculation gives 686 meV per atom. The value obtained for the calculated total energy is -6.627 eV/atom.

Entry from the Alexandria database: crystalline MnTcN2F at its relaxed geometry (GGA+U).

```
MnTcN2F
1.0
-3.3574 1.9550 0.1289
-1.3925 -2.2011 -2.8857
-1.4629 -2.6943 2.7610
N Mn Tc F
2 1 1 1
Cartesian
-0.6962 -1.1005 -1.4429 N
-1.6787 0.9775 0.0644 N
-3.1064 -1.4702 0.0021 Mn
0.0000 0.0000 0.0000 Tc
-0.7315 -1.3472 1.3805 F
```

## Properties
As for the magnetic moment: 4.882 μB/f.u. The symmetry is P4/mmm. For the energy above the most stable polymorph in this dataset, the calculation gives 0 meV per atom. The value obtained for the calculated total energy is -7.313 eV/atom.

Entry from the Alexandria database: crystalline MnTeN2F at its relaxed geometry (GGA+U).

```
MnTeN2F
1.0
-1.4430 0.8851 3.6933
3.4795 -1.2754 1.6651
1.4196 3.5014 -0.2845
N Te Mn F
2 1 1 1
Cartesian
1.7397 -0.6377 0.8326 N
-0.7215 0.4425 1.8466 N
1.7280 1.5555 2.5370 Te
0.0000 0.0000 0.0000 Mn
0.7098 1.7507 -0.1422 F
```

## Properties
As for the magnetic moment: 3.607 μB/f.u. The symmetry is P4/mmm. For the energy above the most stable polymorph in this dataset, the calculation gives 0 meV per atom. The value obtained for the calculated total energy is -5.463 eV/atom.

Entry from the Alexandria database: crystalline MnTeN2F at its relaxed geometry (GGA+U).

```
MnTeN2F
1.0
-0.3181 2.0820 3.0484
-3.3902 1.0461 -1.0682
-2.3370 -4.6087 2.9037
N Te Mn F
2 1 1 1
Cartesian
-1.6951 0.5231 -0.5341 N
-0.1591 1.0410 1.5242 N
-1.1685 -2.3043 1.4518 Te
0.0000 0.0000 0.0000 Mn
-3.0227 -0.7403 2.4419 F
```

## Properties
As for the magnetic moment: 0.414 μB/f.u. The symmetry is P4/mmm. For the energy above the most stable polymorph in this dataset, the calculation gives 352 meV per atom. The value obtained for the calculated total energy is -5.111 eV/atom.

Entry from the Alexandria database: crystalline MnTeN2F at its relaxed geometry (GGA+U).

```
MnTeN2F
1.0
-0.1053 -3.4300 2.3366
3.4524 1.2249 1.9535
-2.3366 2.0213 2.8619
N Te Mn F
2 1 1 1
Cartesian
1.7262 0.6124 0.9768 N
-0.0526 -1.7150 1.1683 N
0.0000 0.0000 0.0000 Te
0.5053 -0.0919 3.5760 Mn
-1.1683 1.0107 1.4310 F
```

## Properties
As for the magnetic moment: 4.912 μB/f.u. The symmetry is P4/mmm. For the energy above the most stable polymorph in this dataset, the calculation gives 220 meV per atom. The value obtained for the calculated total energy is -5.244 eV/atom.